# 1
Compound: BeCuTc2
Source: the Alexandria database
Functional: PBE
Structure: relaxed

Structure (POSCAR):
```
BeCuTc2
1.0
5.061 0.000 0.000
0.000 7.789 0.000
0.000 0.000 2.582
Be Cu Tc
2 2 4
Cartesian
0.000 0.000 0.000 Be
2.530 3.894 0.000 Be
0.000 3.894 0.000 Cu
2.530 0.000 0.000 Cu
1.265 1.947 1.291 Tc
1.265 5.842 1.291 Tc
3.796 1.947 1.291 Tc
3.796 5.842 1.291 Tc
```

SG: Cmmm (65)
Energy of formation from the pure elements in eV/atom: 0.2056
Total energy in eV per atom: -6.933

# 2
Compound: Ac2CoNi
Source: the Alexandria database
Functional: PBE
Structure: relaxed

Structure (POSCAR):
```
Ac2CoNi
1.0
7.137 0.000 0.000
0.000 4.124 0.000
-2.445 0.000 7.717
Ac Co Ni
4 2 2
Cartesian
0.000 0.000 0.000 Ac
0.002 0.000 3.949 Ac
3.568 2.062 0.000 Ac
3.571 2.062 3.949 Ac
1.190 2.062 1.973 Co
4.759 0.000 1.973 Co
2.381 0.000 1.980 Ni
5.949 2.062 1.980 Ni
```

SG: Cm (8)
Energy of formation from the pure elements in eV/atom: -0.1567
Total energy in eV per atom: -5.433

# 3
Compound: NbV2Pt
Source: the Alexandria database
Functional: PBE
Structure: relaxed

Structure (POSCAR):
```
NbV2Pt
1.0
3.168 0.000 0.000
0.000 3.168 0.000
0.000 0.000 6.081
Nb V Pt
1 2 1
Cartesian
0.000 0.000 0.000 Nb
1.584 1.584 1.491 V
1.584 1.584 4.591 V
0.000 0.000 3.041 Pt
```

SG: P4/mmm (123)
Energy of formation from the pure elements in eV/atom: -0.2362
Total energy in eV per atom: -8.823

# 4
Compound: Co2HgPb
Source: the Alexandria database
Functional: PBE
Structure: relaxed

Structure (POSCAR):
```
Co2HgPb
1.0
3.088 0.000 0.000
0.000 3.088 0.000
0.000 0.000 7.922
Co Hg Pb
2 1 1
Cartesian
0.000 0.000 0.000 Co
1.544 1.544 1.051 Co
0.000 0.000 2.888 Hg
1.544 1.544 5.910 Pb
```

SG: P4mm (99)
Energy of formation from the pure elements in eV/atom: 0.3535
Total energy in eV per atom: -4.202

# 5
Compound: Be2Se
Source: the Alexandria database
Functional: PBE
Structure: relaxed

Structure (POSCAR):
```
Be2Se
1.0
4.241 0.000 0.000
0.000 3.688 0.000
-1.887 0.000 5.564
Be Se
4 2
Cartesian
0.000 0.000 0.000 Be
0.241 1.844 1.070 Be
0.914 0.000 2.174 Be
0.992 1.844 5.389 Be
0.181 0.000 4.386 Se
2.235 1.844 2.088 Se
```

SG: Pm (6)
Raw formation energy in eV/f.u.: -0.34
Total energy in eV per atom: -3.760

# 6
Compound: Nd2PaSbO8
Source: the Alexandria database
Functional: PBE
Structure: relaxed

Structure (POSCAR):
```
Nd2PaSbO8
1.0
3.589 -3.723 0.000
3.589 3.723 0.000
0.000 0.000 7.013
Nd Pa Sb O
2 1 1 8
Cartesian
0.000 0.000 1.687 Nd
0.000 0.000 5.326 Nd
3.589 0.000 3.507 Pa
3.589 0.000 0.000 Sb
1.496 0.000 3.507 O
1.619 0.000 0.000 O
3.589 1.310 1.624 O
3.589 1.310 5.389 O
3.589 -1.310 1.624 O
3.589 -1.310 5.389 O
5.560 0.000 0.000 O
5.683 0.000 3.507 O
```

SG: Cmmm (65)
Raw formation energy in eV/f.u.: -34.15
Total energy in eV per atom: -8.081

# 7
Compound: Zn3Se
Source: the Alexandria database
Functional: PBE
Structure: relaxed

Structure (POSCAR):
```
Zn3Se
1.0
3.553 0.000 0.000
0.000 5.705 0.000
0.000 0.000 7.763
Zn Se
6 2
Cartesian
0.000 0.000 0.000 Zn
0.000 2.853 1.924 Zn
0.000 2.853 5.839 Zn
1.776 0.000 1.957 Zn
1.776 0.000 5.806 Zn
1.776 2.853 3.882 Zn
0.000 0.000 3.882 Se
1.776 2.853 0.000 Se
```

SG: Immm (71)
Raw formation energy in eV/f.u.: 0.38
Total energy in eV per atom: -1.731

# 8
Compound: Ce2TmPb2
Source: the Alexandria database
Functional: PBE
Structure: relaxed

Structure (POSCAR):
```
Ce2TmPb2
1.0
10.131 0.000 0.000
0.000 4.613 0.000
-5.051 0.000 6.185
Ce Tm Pb
4 2 4
Cartesian
-1.305 0.000 2.498 Ce
1.319 2.307 3.688 Ce
3.760 2.307 2.498 Ce
6.385 0.000 3.688 Ce
0.000 2.307 0.000 Tm
5.066 0.000 0.000 Tm
-1.815 2.307 4.928 Pb
1.829 0.000 1.257 Pb
3.251 0.000 4.928 Pb
6.895 2.307 1.257 Pb
```

SG: C2/m (12)
Energy of formation from the pure elements in eV/atom: -0.3713
Total energy in eV per atom: -5.123

# 9
Compound: La9ErTm4
Source: the Alexandria database
Functional: PBE
Structure: relaxed

Structure (POSCAR):
```
La9ErTm4
1.0
10.026 0.000 0.000
-5.013 8.683 0.000
0.000 0.000 11.467
La Er Tm
18 2 8
Cartesian
-1.933 4.673 2.867 La
0.000 3.596 6.062 La
0.000 3.596 11.139 La
-1.899 6.885 6.062 La
-1.899 6.885 11.139 La
3.114 1.798 0.328 La
3.114 1.798 5.405 La
1.933 4.673 2.867 La
0.000 8.020 2.867 La
5.013 0.663 8.600 La
3.080 4.010 8.600 La
1.899 6.885 6.062 La
1.899 6.885 11.139 La
6.911 1.798 0.328 La
6.911 1.798 5.405 La
5.013 5.086 0.328 La
5.013 5.086 5.405 La
6.946 4.010 8.600 La
0.000 5.788 8.600 Er
5.013 2.894 2.867 Er
0.000 0.000 0.000 Tm
0.000 0.000 5.734 Tm
0.000 1.889 2.867 Tm
-3.377 7.738 2.867 Tm
1.636 0.944 8.600 Tm
3.377 7.738 2.867 Tm
8.390 0.944 8.600 Tm
5.013 6.794 8.600 Tm
```

SG: P6_3/mmc (194)
Energy of formation from the pure elements in eV/atom: 0.1443
Total energy in eV per atom: -4.627

# 10
Compound: ZrBe9Ru2
Source: the Alexandria database
Functional: PBE
Structure: relaxed

Structure (POSCAR):
```
ZrBe9Ru2
1.0
2.207 1.274 7.013
-2.207 1.274 7.013
0.000 -2.548 7.013
Zr Be Ru
1 9 2
Cartesian
0.000 0.000 0.000 Zr
-1.123 -0.648 8.845 Be
0.000 0.000 7.003 Be
0.000 -1.296 12.194 Be
-1.123 0.648 12.194 Be
0.000 0.000 10.520 Be
1.123 -0.648 8.845 Be
0.000 1.296 8.845 Be
0.000 0.000 14.036 Be
1.123 0.648 12.194 Be
0.000 0.000 2.976 Ru
0.000 0.000 18.063 Ru
```

SG: R-3m (166)
Energy of formation from the pure elements in eV/atom: -0.3269
Total energy in eV per atom: -5.380

# 11
Compound: YCoCu2
Source: the Alexandria database
Functional: PBE
Structure: relaxed

Structure (POSCAR):
```
YCoCu2
1.0
6.354 0.000 0.000
0.000 6.354 0.000
0.000 0.000 6.354
Y Co Cu
4 4 8
Cartesian
0.000 0.000 0.000 Y
0.000 3.177 3.177 Y
3.177 0.000 3.177 Y
3.177 3.177 0.000 Y
0.000 0.000 3.177 Co
0.000 3.177 0.000 Co
3.177 0.000 0.000 Co
3.177 3.177 3.177 Co
1.588 1.588 1.588 Cu
1.588 1.588 4.765 Cu
1.588 4.765 1.588 Cu
1.588 4.765 4.765 Cu
4.765 1.588 1.588 Cu
4.765 1.588 4.765 Cu
4.765 4.765 1.588 Cu
4.765 4.765 4.765 Cu
```

SG: Fm-3m (225)
Energy of formation from the pure elements in eV/atom: 0.0952
Total energy in eV per atom: -5.345

# 12
Compound: CaPt3
Source: the Alexandria database
Functional: PBE
Structure: relaxed

Structure (POSCAR):
```
CaPt3
1.0
4.112 0.000 0.000
0.000 4.112 0.000
0.000 0.000 16.429
Ca Pt
4 12
Cartesian
0.000 0.000 2.027 Ca
0.000 0.000 14.402 Ca
2.056 2.056 6.187 Ca
2.056 2.056 10.242 Ca
0.000 0.000 6.171 Pt
0.000 0.000 10.258 Pt
0.000 2.056 0.000 Pt
0.000 2.056 4.107 Pt
0.000 2.056 8.214 Pt
0.000 2.056 12.322 Pt
2.056 0.000 0.000 Pt
2.056 0.000 4.107 Pt
2.056 0.000 8.214 Pt
2.056 0.000 12.322 Pt
2.056 2.056 2.044 Pt
2.056 2.056 14.385 Pt
```

SG: I4/mmm (139)
Energy of formation from the pure elements in eV/atom: -0.5395
Total energy in eV per atom: -5.571

# 13
Compound: BaNaCd2Au
Source: the Alexandria database
Functional: PBE
Structure: relaxed

Structure (POSCAR):
```
BaNaCd2Au
1.0
5.405 0.000 0.000
0.000 5.405 0.000
0.000 0.000 5.488
Ba Na Cd Au
1 1 2 1
Cartesian
0.000 0.000 0.000 Ba
2.703 2.703 0.000 Na
0.000 2.703 2.744 Cd
2.703 0.000 2.744 Cd
2.703 2.703 2.744 Au
```

SG: P4/mmm (123)
Energy of formation from the pure elements in eV/atom: -0.2072
Total energy in eV per atom: -1.877

# 14
Compound: KDyPb2
Source: the Alexandria database
Functional: PBE
Structure: relaxed

Structure (POSCAR):
```
KDyPb2
1.0
5.820 0.000 0.000
0.000 5.820 0.000
0.000 0.000 3.689
K Dy Pb
1 1 2
Cartesian
0.000 0.000 0.000 K
2.910 2.910 0.000 Dy
0.000 2.910 1.845 Pb
2.910 0.000 1.845 Pb
```

SG: P4/mmm (123)
Energy of formation from the pure elements in eV/atom: -0.1741
Total energy in eV per atom: -3.453

# 15
Compound: PmThCd2
Source: the Alexandria database
Functional: PBE
Structure: relaxed

Structure (POSCAR):
```
PmThCd2
1.0
7.676 0.000 0.000
0.000 7.676 0.000
0.000 0.000 7.676
Pm Th Cd
4 4 8
Cartesian
0.000 0.000 0.000 Pm
0.000 3.838 3.838 Pm
3.838 0.000 3.838 Pm
3.838 3.838 0.000 Pm
0.000 0.000 3.838 Th
0.000 3.838 0.000 Th
3.838 0.000 0.000 Th
3.838 3.838 3.838 Th
1.919 1.919 1.919 Cd
1.919 1.919 5.757 Cd
1.919 5.757 1.919 Cd
1.919 5.757 5.757 Cd
5.757 1.919 1.919 Cd
5.757 1.919 5.757 Cd
5.757 5.757 1.919 Cd
5.757 5.757 5.757 Cd
```

SG: Fm-3m (225)
Energy of formation from the pure elements in eV/atom: -0.1617
Total energy in eV per atom: -3.662

# 16
Compound: ReAg2As
Source: the Alexandria database
Functional: PBE
Structure: relaxed

Structure (POSCAR):
```
ReAg2As
1.0
2.721 0.000 0.000
0.000 4.710 0.000
0.000 0.000 5.335
Re Ag As
1 2 1
Cartesian
0.000 0.000 0.000 Re
1.361 2.355 1.302 Ag
1.361 2.355 4.033 Ag
0.000 0.000 2.668 As
```

SG: Pmmm (47)
Energy of formation from the pure elements in eV/atom: 0.6496
Total energy in eV per atom: -5.050

# 17
Compound: Na2InGa2Pt5
Source: the Alexandria database
Functional: PBE
Structure: relaxed

Structure (POSCAR):
```
Na2InGa2Pt5
1.0
9.616 0.000 0.000
0.000 9.616 0.000
0.000 0.000 3.787
Na In Ga Pt
4 2 4 10
Cartesian
1.670 3.139 0.000 Na
3.139 7.947 0.000 Na
6.478 1.670 0.000 Na
7.947 6.478 0.000 Na
0.000 0.000 0.000 In
4.808 4.808 0.000 In
1.206 6.014 0.000 Ga
3.602 1.206 0.000 Ga
6.014 8.410 0.000 Ga
8.410 3.602 0.000 Ga
0.000 4.808 1.893 Pt
0.657 7.630 1.893 Pt
1.986 0.657 1.893 Pt
2.822 5.465 1.893 Pt
4.151 2.822 1.893 Pt
4.808 0.000 1.893 Pt
5.465 6.794 1.893 Pt
6.794 4.151 1.893 Pt
7.630 8.959 1.893 Pt
8.959 1.986 1.893 Pt
```

SG: P4/mbm (127)
Energy of formation from the pure elements in eV/atom: -0.4938
Total energy in eV per atom: -4.657

# 18
Compound: ZrHgSe
Source: the Alexandria database
Functional: PBE
Structure: relaxed

Structure (POSCAR):
```
ZrHgSe
1.0
6.613 0.000 0.000
0.000 6.613 0.000
0.000 0.000 6.613
Zr Hg Se
4 4 4
Cartesian
0.000 0.000 0.000 Zr
0.000 3.307 3.307 Zr
3.307 0.000 3.307 Zr
3.307 3.307 0.000 Zr
0.000 0.000 3.307 Hg
0.000 3.307 0.000 Hg
3.307 0.000 0.000 Hg
3.307 3.307 3.307 Hg
1.653 1.653 4.960 Se
1.653 4.960 1.653 Se
4.960 1.653 1.653 Se
4.960 4.960 4.960 Se
```

SG: F-43m (216)
Raw formation energy in eV/f.u.: -0.35
Total energy in eV per atom: -4.228

# 19
Compound: LaHoSe2S
Source: the Alexandria database
Functional: PBE
Structure: relaxed

Structure (POSCAR):
```
LaHoSe2S
1.0
2.055 -6.627 0.000
2.055 6.627 0.000
0.000 0.000 9.708
La Ho Se S
2 2 4 2
Cartesian
2.055 3.498 7.281 La
2.055 -3.498 2.427 La
2.055 0.000 0.000 Ho
2.055 0.000 4.854 Ho
2.055 4.728 0.611 Se
2.055 4.728 4.243 Se
2.055 -4.728 5.465 Se
2.055 -4.728 9.097 Se
2.055 1.145 2.427 S
2.055 -1.145 7.281 S
```

SG: Cmcm (63)
Raw formation energy in eV/f.u.: -10.30
Total energy in eV per atom: -6.180

# 20
Compound: YCrP2S
Source: the Alexandria database
Functional: PBE
Structure: relaxed

Structure (POSCAR):
```
YCrP2S
1.0
5.257 0.000 0.000
0.000 5.257 0.000
0.000 0.000 5.142
Y Cr P S
1 1 2 1
Cartesian
0.000 0.000 0.000 Y
2.628 2.628 2.571 Cr
0.000 2.628 0.000 P
2.628 0.000 0.000 P
0.000 0.000 2.571 S
```

SG: P4/mmm (123)
Raw formation energy in eV/f.u.: 3.04
Total energy in eV per atom: -5.598

# 21
Compound: MnSiPH
Source: the Alexandria database
Functional: PBE
Structure: relaxed

Structure (POSCAR):
```
MnSiPH
1.0
2.883 0.000 0.000
0.000 3.038 0.000
0.000 0.000 4.802
Mn Si P H
1 1 1 1
Cartesian
0.000 0.000 0.000 Mn
1.442 1.519 3.498 Si
1.442 0.000 1.705 P
0.000 1.519 0.729 H
```

SG: Pmm2 (25)
Total energy in eV per atom: -5.892

# 22
Compound: BaCuAs
Source: the Alexandria database
Functional: PBE
Structure: relaxed

Structure (POSCAR):
```
BaCuAs
1.0
4.373 0.000 0.000
-2.187 3.787 0.000
0.000 0.000 9.324
Ba Cu As
2 2 2
Cartesian
0.000 0.000 0.000 Ba
0.000 0.000 4.662 Ba
0.000 2.525 2.331 Cu
2.187 1.262 6.993 Cu
0.000 2.525 6.993 As
2.187 1.262 2.331 As
```

SG: P6_3/mmc (194)
Energy of formation from the pure elements in eV/atom: -0.7544
Total energy in eV per atom: -4.311

# 23
Compound: Mn2AlCo
Source: the Alexandria database
Functional: PBE
Structure: relaxed

Structure (POSCAR):
```
Mn2AlCo
1.0
9.264 0.000 0.000
0.000 2.882 0.000
-1.840 0.000 3.705
Mn Al Co
4 2 2
Cartesian
0.000 0.000 0.000 Mn
0.899 0.000 2.764 Mn
4.632 1.441 0.000 Mn
5.532 1.441 2.764 Mn
1.981 1.441 0.991 Al
6.613 0.000 0.991 Al
-0.823 1.441 1.901 Co
3.809 0.000 1.901 Co
```

SG: Cm (8)
Energy of formation from the pure elements in eV/atom: -0.1047
Total energy in eV per atom: -7.402

# 24
Compound: Tm2Mo2C3
Source: the Alexandria database
Functional: PBE
Structure: relaxed

Structure (POSCAR):
```
Tm2Mo2C3
1.0
11.586 0.000 0.000
0.000 3.316 0.000
-2.076 0.000 5.268
Tm Mo C
4 4 6
Cartesian
0.605 0.000 1.728 Tm
3.111 1.658 3.540 Tm
6.398 1.658 1.728 Tm
8.904 0.000 3.540 Tm
0.092 1.658 4.358 Mo
3.624 0.000 0.910 Mo
5.885 0.000 4.358 Mo
9.417 1.658 0.910 Mo
-1.038 1.658 2.634 C
2.371 1.658 1.246 C
1.345 0.000 4.022 C
4.755 0.000 2.634 C
8.164 0.000 1.246 C
7.138 1.658 4.022 C
```

SG: C2/m (12)
Energy of formation from the pure elements in eV/atom: -0.3967
Total energy in eV per atom: -8.722

# 25
Compound: CdOsBr2
Source: the Alexandria database
Functional: PBE
Structure: relaxed

Structure (POSCAR):
```
CdOsBr2
1.0
5.477 0.000 0.000
0.000 3.807 0.000
-2.723 0.000 6.172
Cd Os Br
1 1 2
Cartesian
0.000 0.000 0.000 Cd
2.738 0.000 0.000 Os
0.016 1.903 4.561 Br
2.738 1.903 1.611 Br
```

SG: P2/m (10)
Raw formation energy in eV/f.u.: 1.18
Total energy in eV per atom: -3.578

# 26
Compound: Rb2TlFeRu
Source: the Alexandria database
Functional: PBE
Structure: relaxed

Structure (POSCAR):
```
Rb2TlFeRu
1.0
6.399 0.000 0.000
0.000 6.399 0.000
0.000 0.000 5.253
Rb Tl Fe Ru
2 1 1 1
Cartesian
0.000 3.200 0.000 Rb
3.200 0.000 0.000 Rb
0.000 0.000 2.626 Tl
3.200 3.200 2.626 Fe
0.000 0.000 0.000 Ru
```

SG: P4/mmm (123)
Energy of formation from the pure elements in eV/atom: 1.3221
Total energy in eV per atom: -3.086